Here is a relaxed LiSm6Zn5 crystal from the Alexandria database. Energies are from PBE.

Summary:
SG: No. 71
Uncorrected energy (eV per atom): -3.316

Lattice parameters (Å, degrees): 8.944 8.944 8.944 146.48 131.71 60.06
Fractional positions:
Li 0.000 0.000 0.000
Sm 0.084 0.831 0.253
Sm 0.258 0.500 0.758
Sm 0.423 0.169 0.253
Sm 0.577 0.831 0.747
Sm 0.742 0.500 0.242
Sm 0.916 0.169 0.747
Zn 0.161 0.661 0.500
Zn 0.334 0.334 0.000
Zn 0.500 0.000 0.500
Zn 0.666 0.666 0.000
Zn 0.839 0.339 0.500


Here is a relaxed LiSmZn crystal from the Alexandria database. Energies are from PBE.

Summary:
SG: No. 129
Uncorrected energy (eV per atom): -2.741
Energy relative to the lowest polymorph listed for this composition (kJ per mole of atoms): 6.2

Lattice parameters (Å, degrees): 3.434 3.434 11.350 90.00 90.00 90.00
Fractional positions:
Li 0.250 0.250 0.075
Li 0.750 0.750 0.925
Sm 0.250 0.250 0.377
Sm 0.750 0.750 0.623
Zn 0.250 0.250 0.803
Zn 0.750 0.750 0.197


Here is a relaxed Li2SmZn crystal from the Alexandria database. Energies are from PBE.

Summary:
SG: No. 166
Uncorrected energy (eV per atom): -2.283
Energy relative to the lowest polymorph listed for this composition (kJ per mole of atoms): 17.0

Lattice parameters (Å, degrees): 10.576 10.576 10.576 17.45 17.45 17.45
Fractional positions:
Li 0.100 0.100 0.100
Li 0.900 0.900 0.900
Sm 0.000 0.000 0.000
Zn 0.500 0.500 0.500


Here is a relaxed Li2SmZn crystal from the Alexandria database. Energies are from PBE.

Summary:
SG: No. 123
Uncorrected energy (eV per atom): -2.440
Energy relative to the lowest polymorph listed for this composition (kJ per mole of atoms): 1.9

Lattice parameters (Å, degrees): 3.424 3.424 7.077 90.00 90.00 90.00
Fractional positions:
Li 0.000 0.000 0.186
Li 0.000 0.000 0.814
Sm 0.500 0.500 0.500
Zn 0.500 0.500 0.000


Here is a relaxed Li4SmZn2 crystal from the Alexandria database. Energies are from PBE.

Summary:
SG: No. 65
Uncorrected energy (eV per atom): -2.244

Lattice parameters (Å, degrees): 8.952 8.952 4.040 90.00 90.00 154.23
Fractional positions:
Li 0.179 0.821 0.000
Li 0.317 0.683 0.500
Li 0.683 0.317 0.500
Li 0.821 0.179 0.000
Sm 0.500 0.500 0.000
Zn 0.077 0.923 0.500
Zn 0.923 0.077 0.500


Here is a relaxed LiSmZn2 crystal from the Alexandria database. Energies are from PBE.

Summary:
SG: No. 225
Uncorrected energy (eV per atom): -2.546
Energy relative to the lowest polymorph listed for this composition (kJ per mole of atoms): 0.0

Lattice parameters (Å, degrees): 4.847 4.847 4.847 60.00 60.00 60.00
Fractional positions:
Li 0.000 0.000 0.000
Sm 0.500 0.500 0.500
Zn 0.250 0.250 0.250
Zn 0.750 0.750 0.750


Here is a relaxed LiSmZn4 crystal from the Alexandria database. Energies are from PBE.

Summary:
SG: No. 191
Uncorrected energy (eV per atom): -2.233
Energy relative to the lowest polymorph listed for this composition (kJ per mole of atoms): 0.0

Lattice parameters (Å, degrees): 4.411 4.411 6.579 90.00 90.00 120.00
Fractional positions:
Li 0.000 0.000 0.000
Sm 0.000 0.000 0.500
Zn 0.333 0.667 0.210
Zn 0.333 0.667 0.790
Zn 0.667 0.333 0.210
Zn 0.667 0.333 0.790


Here is a relaxed LiSm2Zn16 crystal from the Alexandria database. Energies are from PBE.

Summary:
SG: No. 160
Uncorrected energy (eV per atom): -1.932

Lattice parameters (Å, degrees): 6.824 6.824 6.824 82.82 82.82 82.82
Fractional positions:
Li 0.000 0.000 0.000
Sm 0.243 0.243 0.243
Sm 0.569 0.569 0.569
Zn 0.070 0.553 0.553
Zn 0.200 0.614 0.907
Zn 0.200 0.907 0.614
Zn 0.257 0.257 0.750
Zn 0.257 0.750 0.257
Zn 0.404 0.908 0.908
Zn 0.553 0.070 0.553
Zn 0.553 0.553 0.070
Zn 0.614 0.200 0.907
Zn 0.614 0.907 0.200
Zn 0.750 0.257 0.257
Zn 0.802 0.802 0.802
Zn 0.907 0.200 0.614
Zn 0.907 0.614 0.200
Zn 0.908 0.404 0.908
Zn 0.908 0.908 0.404


Here is a relaxed LiSmZn11 crystal from the Alexandria database. Energies are from PBE.

Summary:
SG: No. 12
Uncorrected energy (eV per atom): -1.789

Lattice parameters (Å, degrees): 6.792 6.792 6.818 98.45 98.45 134.62
Fractional positions:
Li 0.000 0.000 0.000
Sm 0.500 0.500 0.500
Zn 0.000 0.500 0.500
Zn 0.001 0.783 0.278
Zn 0.138 0.490 0.145
Zn 0.217 0.999 0.722
Zn 0.490 0.138 0.145
Zn 0.500 0.000 0.500
Zn 0.500 0.500 0.000
Zn 0.510 0.862 0.855
Zn 0.783 0.001 0.278
Zn 0.862 0.510 0.855
Zn 0.999 0.217 0.722


Here is a relaxed LiSm2Zr crystal from the Alexandria database. Energies are from PBE.

Summary:
SG: No. 166
Uncorrected energy (eV per atom): -4.853
Energy relative to the lowest polymorph listed for this composition (kJ per mole of atoms): 2.7

Lattice parameters (Å, degrees): 11.286 11.286 11.286 17.43 17.43 17.43
Fractional positions:
Li 0.000 0.000 0.000
Sm 0.247 0.247 0.247
Sm 0.753 0.753 0.753
Zr 0.500 0.500 0.500


Here is a relaxed LiSmZr2 crystal from the Alexandria database. Energies are from PBE.

Summary:
SG: No. 166
Uncorrected energy (eV per atom): -5.506

Lattice parameters (Å, degrees): 11.726 11.726 11.726 15.35 15.35 15.35
Fractional positions:
Li 0.000 0.000 0.000
Sm 0.500 0.500 0.500
Zr 0.408 0.408 0.408
Zr 0.592 0.592 0.592


Here is a relaxed LiSm2Zr crystal from the Alexandria database. Energies are from PBE.

Summary:
SG: No. 123
Uncorrected energy (eV per atom): -4.798
Energy relative to the lowest polymorph listed for this composition (kJ per mole of atoms): 8.0

Lattice parameters (Å, degrees): 5.598 5.598 3.478 90.00 90.00 90.00
Fractional positions:
Li 0.000 0.000 0.000
Sm 0.000 0.500 0.500
Sm 0.500 0.000 0.500
Zr 0.500 0.500 0.000